Entry 1:
A plane-wave DFT calculation with PBE was carried out for a geometry-optimized ErZn2Cu9 structure.

Results
SG	No. 166

a b c (Å): 8.349 8.349 8.349
angles (deg): 34.74 34.74 34.74
Atoms (fractional coordinates):
Er 0.000 0.000 0.000
Zn 0.146 0.146 0.146
Zn 0.854 0.854 0.854
Cu 0.081 0.589 0.589
Cu 0.334 0.334 0.334
Cu 0.411 0.411 0.919
Cu 0.411 0.919 0.411
Cu 0.500 0.500 0.500
Cu 0.589 0.081 0.589
Cu 0.589 0.589 0.081
Cu 0.666 0.666 0.666
Cu 0.919 0.411 0.411

---

Entry 2:
A plane-wave DFT calculation with PBE was carried out for a geometry-optimized Er3Zn8Cu structure.

Results
SG	No. 160

a b c (Å): 9.238 9.238 9.238
angles (deg): 33.52 33.52 33.52
Atoms (fractional coordinates):
Er 0.000 0.000 0.000
Er 0.126 0.126 0.126
Er 0.513 0.513 0.513
Zn 0.064 0.565 0.565
Zn 0.066 0.066 0.569
Zn 0.066 0.569 0.066
Zn 0.316 0.316 0.316
Zn 0.565 0.064 0.565
Zn 0.565 0.565 0.064
Zn 0.569 0.066 0.066
Zn 0.816 0.816 0.816
Cu 0.634 0.634 0.634

---

Entry 3:
A plane-wave DFT calculation with PBE was carried out for a geometry-optimized Er6ZnCu2 structure.

Results
SG	No. 71

a b c (Å): 8.324 8.324 8.324
angles (deg): 111.36 110.20 106.89
Atoms (fractional coordinates):
Er 0.053 0.244 0.809
Er 0.180 0.275 0.455
Er 0.180 0.725 0.905
Er 0.324 0.025 0.701
Er 0.324 0.624 0.299
Er 0.434 0.244 0.191
Er 0.566 0.756 0.809
Er 0.676 0.376 0.701
Er 0.676 0.975 0.299
Er 0.820 0.275 0.095
Er 0.820 0.725 0.545
Er 0.947 0.756 0.191
Zn 0.000 0.000 0.000
Zn 0.500 0.500 0.000
Cu 0.121 0.621 0.500
Cu 0.350 0.000 0.350
Cu 0.650 0.000 0.650
Cu 0.879 0.379 0.500

---

Entry 4:
A plane-wave DFT calculation with PBE was carried out for a geometry-optimized ErZn2Cu structure.

Results
SG	No. 11

a b c (Å): 4.788 4.340 7.041
angles (deg): 90.00 97.67 90.00
Atoms (fractional coordinates):
Er 0.054 0.250 0.191
Er 0.946 0.750 0.809
Zn 0.361 0.750 0.476
Zn 0.484 0.250 0.898
Zn 0.516 0.750 0.102
Zn 0.639 0.250 0.524
Cu 0.147 0.250 0.597
Cu 0.853 0.750 0.403

---

Entry 5:
A plane-wave DFT calculation with PBE was carried out for a geometry-optimized Er2ZnCu7 structure.

Results
SG	No. 115

a b c (Å): 3.763 3.763 11.310
angles (deg): 90.00 90.00 90.00
Atoms (fractional coordinates):
Er 0.000 0.500 0.243
Er 0.500 0.000 0.757
Zn 0.000 0.000 0.500
Cu 0.000 0.000 0.000
Cu 0.000 0.500 0.647
Cu 0.000 0.500 0.861
Cu 0.500 0.000 0.139
Cu 0.500 0.000 0.353
Cu 0.500 0.500 0.000
Cu 0.500 0.500 0.500

---

Entry 6:
A plane-wave DFT calculation with PBE was carried out for a geometry-optimized ErZn11Cu structure.

Results
SG	No. 12

a b c (Å): 6.756 6.756 6.743
angles (deg): 98.43 98.43 134.88
Atoms (fractional coordinates):
Er 0.000 0.000 0.000
Zn 0.000 0.000 0.500
Zn 0.000 0.500 0.000
Zn 0.012 0.361 0.355
Zn 0.288 0.503 0.782
Zn 0.361 0.012 0.355
Zn 0.497 0.712 0.218
Zn 0.500 0.000 0.000
Zn 0.503 0.288 0.782
Zn 0.639 0.988 0.645
Zn 0.712 0.497 0.218
Zn 0.988 0.639 0.645
Cu 0.500 0.500 0.500

---

Entry 7:
A plane-wave DFT calculation with PBE was carried out for a geometry-optimized ErZn3Cu9 structure.

Results
SG	No. 12

a b c (Å): 6.559 6.559 6.454
angles (deg): 97.72 97.72 136.07
Atoms (fractional coordinates):
Er 0.000 0.000 0.000
Zn 0.000 0.500 0.000
Zn 0.500 0.000 0.000
Zn 0.500 0.500 0.500
Cu 0.000 0.000 0.500
Cu 0.011 0.658 0.642
Cu 0.284 0.501 0.781
Cu 0.342 0.989 0.358
Cu 0.499 0.716 0.219
Cu 0.501 0.284 0.781
Cu 0.658 0.011 0.642
Cu 0.716 0.499 0.219
Cu 0.989 0.342 0.358

---

Entry 8:
A plane-wave DFT calculation with PBE was carried out for a geometry-optimized ErZnCu3 structure.

Results
SG	No. 55

a b c (Å): 5.650 7.158 4.501
angles (deg): 90.00 90.00 90.00
Atoms (fractional coordinates):
Er 0.000 0.000 0.000
Er 0.500 0.500 0.000
Zn 0.000 0.500 0.500
Zn 0.500 0.000 0.500
Cu 0.000 0.500 0.000
Cu 0.245 0.247 0.500
Cu 0.255 0.747 0.500
Cu 0.500 0.000 0.000
Cu 0.745 0.253 0.500
Cu 0.755 0.753 0.500

---

| no. | calculated formation energy (eV per atom) | total magnetic moment (μB/atom) |
| --- | --- | --- |
| 1 | -0.091 | 0.00 |
| 2 | -0.249 | 0.00 |
| 3 | -0.188 | 0.00 |
| 4 | -0.258 | 0.00 |
| 5 | -0.159 | 0.00 |
| 6 | -0.177 | 0.00 |
| 7 | -0.119 | 0.00 |
| 8 | 0.174 | 0.00 |